a | The following is a DFT calculation (PBE) of Pr5Ir2Au after structural relaxation.

Cell and atoms, written as POSCAR:
```
Pr5Ir2Au
1.0
-3.1040 -4.7422 1.4462
5.8508 -1.4261 -3.9475
7.7661 -1.4169 12.0223
Pr Ir Au
10 4 2
Cartesian
3.4553 -0.9523 4.2935
3.3272 -2.6422 -1.5224
7.8207 -2.8259 7.5194
4.1496 -4.3891 6.3435
7.0575 -6.6329 5.2274
6.3633 -3.1961 3.1775
9.1666 -7.0177 8.4923
1.3463 -0.5675 1.0286
2.6921 -4.7593 2.0015
7.1856 -4.9430 11.0434
1.9020 -5.1002 -0.8122
5.6463 -1.9441 5.7440
4.8665 -5.6410 3.7770
8.6108 -2.4850 10.3331
3.9314 -2.1119 1.5130
6.5815 -5.4733 8.0079
```

b | The following is a DFT calculation (PBE) of Pr5Ir2Au after structural relaxation.

Cell and atoms, written as POSCAR:
```
Pr5Ir2Au
1.0
7.2452 0.0000 -3.4201
-1.6145 7.0631 -3.4201
-0.2175 -0.2728 8.9235
Pr Au Ir
10 2 4
Cartesian
4.1706 6.7887 -3.6334
2.8733 2.0469 -0.2133
-0.8060 3.5331 4.5926
4.5887 1.2118 3.4205
0.0000 0.0000 0.0000
1.2427 0.0015 5.7166
2.5400 4.7433 2.2965
0.8246 5.5785 -1.3373
2.8154 3.5315 -3.4201
6.2193 3.2572 -2.5094
1.2989 1.6294 2.7517
4.1143 5.1609 -0.6685
0.3882 2.5785 -1.7101
5.2425 4.4846 -5.1302
1.2484 6.1100 -4.2072
4.3824 0.9530 -2.6331
```

Least stable of them? a.

a | The following is a DFT calculation (PBE) of Pr4IrAu after structural relaxation.

Cell and atoms, written as POSCAR:
```
Pr4IrAu
1.0
6.2722 -0.1877 0.0000
-1.8337 8.0447 0.0000
-2.2193 -3.9285 6.9949
Pr Au Ir
8 2 2
Cartesian
-1.0067 1.7262 6.0390
3.1268 -1.0552 2.5432
-2.1294 -1.6323 6.0390
3.2260 2.2023 0.9559
0.0093 0.9613 2.5432
2.2100 2.9672 4.4517
-0.9076 4.9837 4.4517
4.3487 5.5608 0.9559
1.5681 -0.0469 5.2481
0.6512 3.9754 1.7468
4.7042 -0.1407 0.0171
-2.4849 4.0692 6.9778
```

b | The following is a DFT calculation (PBE) of Pr4IrAu after structural relaxation.

Cell and atoms, written as POSCAR:
```
Pr4IrAu
1.0
8.5959 0.0000 4.9629
2.8653 8.1043 4.9629
0.0000 0.0000 9.9257
Au Ir Pr
4 4 16
Cartesian
2.8653 4.2203 4.9628
1.8309 1.2946 6.7545
4.9341 1.2946 4.9628
1.8309 1.2946 3.1712
5.7306 1.4265 9.9257
6.9684 4.9274 7.7818
6.9684 4.9274 12.0696
3.2551 4.9274 9.9257
9.2952 6.5727 9.9257
7.5129 1.5316 6.8387
4.5549 3.2208 11.9620
7.4931 7.6378 16.7986
9.6987 4.5187 12.9785
9.6987 4.5187 16.7986
8.0820 3.2208 9.9257
7.5129 1.5316 13.0127
10.8015 7.6378 14.8885
5.7306 6.5461 9.9257
6.3904 4.5187 14.8885
7.4931 7.6378 12.9785
2.1661 1.5316 9.9257
3.9483 6.5727 13.0127
4.5549 3.2208 7.8894
3.9483 6.5727 6.8387
```

Least stable of them? a.

a | The following is a DFT calculation (PBE) of TbPrIrAu after structural relaxation.

Cell and atoms, written as POSCAR:
```
TbPrIrAu
1.0
3.9056 0.0000 0.0000
0.0000 4.5998 0.0000
-1.9528 0.0000 5.3748
Tb Ir Au Pr
1 1 1 1
Cartesian
1.9528 2.2999 3.9168
0.0000 0.0000 4.4162
1.9528 2.2999 0.8762
0.0000 0.0000 1.5405
```

b | The following is a DFT calculation (PBE) of TbPrIrAu after structural relaxation.

Cell and atoms, written as POSCAR:
```
TbPrIrAu
1.0
-3.6693 -1.1101 3.3330
-2.7199 -4.2561 -0.5408
0.6145 -3.8396 3.2688
Pr Tb Ir Au
1 1 1 1
Cartesian
-1.4437 -2.3015 1.5153
-4.3310 -6.9044 4.5458
-2.8873 -4.6029 3.0305
0.0000 0.0000 0.0000
```

Least stable of them? b.

a | The following is a DFT calculation (PBE) of IrPtAu after structural relaxation.

Cell and atoms, written as POSCAR:
```
IrPtAu
1.0
-0.9149 -4.6248 1.6700
2.2698 -4.0306 -1.9019
0.4847 4.4531 2.2248
Au Ir Pt
1 1 1
Cartesian
1.3534 -8.6461 -0.2317
0.4428 -2.8288 -0.0758
0.9135 -5.8359 -0.1564
```

b | The following is a DFT calculation (PBE) of IrPtAu after structural relaxation.

Cell and atoms, written as POSCAR:
```
IrPtAu
1.0
3.9469 2.5109 -3.1770
1.7219 3.9922 -2.2807
-13.8053 -14.9462 21.3982
Pt Ir Au
2 2 2
Cartesian
-8.8407 -9.7477 14.0800
0.7042 1.3046 1.8604
-10.8411 -13.0509 19.0029
2.7046 4.6079 -3.0624
-2.9573 -3.9361 5.8166
-5.1792 -4.5069 10.1239
```

Least stable of them? a.